The following is a PBE calculation of La2NdAl9 after structural relaxation, from the Alexandria database.

a b c (Å): 9.535 9.535 9.535
angles (deg): 34.87 34.87 34.87
Positions (direct):
La 0.142 0.142 0.142
La 0.858 0.858 0.858
Nd 0.000 0.000 0.000
Al 0.075 0.585 0.585
Al 0.335 0.335 0.335
Al 0.415 0.415 0.925
Al 0.415 0.925 0.415
Al 0.500 0.500 0.500
Al 0.585 0.075 0.585
Al 0.585 0.585 0.075
Al 0.665 0.665 0.665
Al 0.925 0.415 0.415

Computed properties:
* electronic total energy: -52.86 eV per cell
* E_form: -380 meV/atom
* magnetic moment: 0.0 μB per formula unit